Entry 1:
This record from OQMD via LeMat-Bulk describes a relaxed DySnOs crystal. The functional is PBE.

Calculated values
Volume in Å³ per cell: 71.2
Energy in Ry per atom: -0.49594
Symmetry: F-43m

Lattice parameters (Å, degrees): 4.6525 4.6525 4.6525 60.00 60.00 60.00
Positions (direct):
1 Dy 0.0000 0.0000 0.0000
2 Sn 0.5000 0.5000 0.5000
3 Os 0.2500 0.2500 0.2500

=====

Entry 2:
This record from OQMD via LeMat-Bulk describes a relaxed Nd2HoMg3Ir3 crystal. The functional is PBE.

Calculated values
Volume in Å³ per cell: 192.6
Energy in Ry per atom: -0.41623
Symmetry: Amm2

Lattice parameters (Å, degrees): 4.1120 7.3486 7.3486 119.87 90.00 90.00
Positions (direct):
1 Nd 0.0000 0.2061 0.7939
2 Nd 0.0000 0.7939 0.2061
3 Ho 0.0000 0.6128 0.6128
4 Mg 0.5000 0.2092 0.4490
5 Mg 0.5000 0.4490 0.2092
6 Mg 0.5000 0.9627 0.9627
7 Ir 0.0000 0.2123 0.2123
8 Ir 0.5000 0.5430 0.8657
9 Ir 0.5000 0.8657 0.5430

=====

Entry 3:
This record from OQMD via LeMat-Bulk describes a relaxed CsPr2Cu3SeS4 crystal. The functional is PBE.

Calculated values
Volume in Å³ per cell: 520.4
Energy in Ry per atom: -0.36354
Symmetry: Cmcm

Lattice parameters (Å, degrees): 7.4247 7.4247 17.7431 90.00 90.00 147.85
Positions (direct):
1 Cs 0.0575 0.9425 0.7500
2 Cs 0.9425 0.0575 0.2500
3 Pr 0.1897 0.8103 0.0877
4 Pr 0.1897 0.8103 0.4123
5 Pr 0.8103 0.1897 0.5877
6 Pr 0.8103 0.1897 0.9123
7 Cu 0.3403 0.6597 0.7500
8 Cu 0.4147 0.5853 0.0342
9 Cu 0.4147 0.5853 0.4658
10 Cu 0.5853 0.4147 0.5342
11 Cu 0.5853 0.4147 0.9658
12 Cu 0.6597 0.3403 0.2500
13 Se 0.2364 0.7636 0.2500
14 Se 0.7636 0.2364 0.7500
15 S 0.1641 0.8359 0.5688
16 S 0.1641 0.8359 0.9312
17 S 0.4430 0.5570 0.6037
18 S 0.4430 0.5570 0.8963
19 S 0.5570 0.4430 0.1037
20 S 0.5570 0.4430 0.3963
21 S 0.8359 0.1641 0.0688
22 S 0.8359 0.1641 0.4312

=====

Entry 4:
This record from OQMD via LeMat-Bulk describes a relaxed TaTl3SeS3 crystal. The functional is PBE.

Calculated values
Volume in Å³ per cell: 244.8
Energy in Ry per atom: -0.36879
Symmetry: R3m

Lattice parameters (Å, degrees): 6.8131 6.8131 6.8131 109.32 109.32 109.32
Positions (direct):
1 Ta 0.0000 0.0000 0.0000
2 Tl 0.0017 0.5043 0.5043
3 Tl 0.5043 0.0017 0.5043
4 Tl 0.5043 0.5043 0.0017
5 Se 0.3548 0.3548 0.3548
6 S 0.0044 0.0044 0.6673
7 S 0.0044 0.6673 0.0044
8 S 0.6673 0.0044 0.0044

=====

Entry 5:
This record from OQMD via LeMat-Bulk describes a relaxed ErAgGeTeSe2 crystal. The functional is PBE.

Calculated values
Volume in Å³ per cell: 305.0
Energy in Ry per atom: -0.32102
Symmetry: Cmcm

Lattice parameters (Å, degrees): 7.0900 7.0900 11.1445 90.00 90.00 147.01
Positions (direct):
1 Er 0.0000 0.0000 0.0000
2 Er 0.0000 0.0000 0.5000
3 Ag 0.4777 0.5223 0.7500
4 Ag 0.5223 0.4777 0.2500
5 Ge 0.2036 0.7964 0.2500
6 Ge 0.7964 0.2036 0.7500
7 Te 0.1213 0.8787 0.7500
8 Te 0.8787 0.1213 0.2500
9 Se 0.3593 0.6407 0.5637
10 Se 0.3593 0.6407 0.9363
11 Se 0.6407 0.3593 0.0637
12 Se 0.6407 0.3593 0.4363

=====

Entry 6:
This record from OQMD via LeMat-Bulk describes a relaxed Ho3Pd crystal. The functional is PBE.

Calculated values
Volume in Å³ per cell: 430.5
Symmetry: Pnma
Formation energy from the elements in meV/atom: -485

Lattice parameters (Å, degrees): 6.9860 9.6268 6.4013 90.00 90.00 90.00
Positions (direct):
1 Ho 0.0227 0.2500 0.1315
2 Ho 0.1819 0.0589 0.6749
3 Ho 0.1819 0.4411 0.6749
4 Ho 0.3181 0.5589 0.1749
5 Ho 0.3181 0.9411 0.1749
6 Ho 0.4773 0.7500 0.6315
7 Ho 0.5227 0.2500 0.3685
8 Ho 0.6819 0.0589 0.8251
9 Ho 0.6819 0.4411 0.8251
10 Ho 0.8181 0.5589 0.3251
11 Ho 0.8181 0.9411 0.3251
12 Ho 0.9773 0.7500 0.8685
13 Pd 0.1100 0.7500 0.4418
14 Pd 0.3900 0.2500 0.9418
15 Pd 0.6100 0.7500 0.0582
16 Pd 0.8900 0.2500 0.5582

=====

Entry 7:
This record from OQMD via LeMat-Bulk describes a relaxed BeNbFeB crystal. The functional is PBE.

Calculated values
Volume in Å³ per cell: 42.2
Energy in Ry per atom: -0.51919
Symmetry: F-43m

Lattice parameters (Å, degrees): 3.9077 3.9077 3.9077 60.00 60.00 60.00
Positions (direct):
1 Be 0.0000 0.0000 0.0000
2 Nb 0.2500 0.2500 0.2500
3 Fe 0.5000 0.5000 0.5000
4 B 0.7500 0.7500 0.7500

=====

Entry 8:
This record from OQMD via LeMat-Bulk describes a relaxed KAgTe2IrSe crystal. The functional is PBE.

Calculated values
Volume in Å³ per cell: 328.6
Energy in Ry per atom: -0.29352
Symmetry: Cmcm

Lattice parameters (Å, degrees): 8.0444 8.0444 10.4313 90.00 90.00 150.87
Positions (direct):
1 K 0.2390 0.7610 0.7500
2 K 0.7610 0.2390 0.2500
3 Ag 0.4503 0.5497 0.2500
4 Ag 0.5497 0.4503 0.7500
5 Te 0.3843 0.6157 0.0113
6 Te 0.3843 0.6157 0.4887
7 Te 0.6157 0.3843 0.5113
8 Te 0.6157 0.3843 0.9887
9 Ir 0.0000 0.0000 0.0000
10 Ir 0.0000 0.0000 0.5000
11 Se 0.0608 0.9392 0.2500
12 Se 0.9392 0.0608 0.7500

=====

Entry 9:
This record from OQMD via LeMat-Bulk describes a relaxed PrScBe crystal. The functional is PBE.

Calculated values
Volume in Å³ per cell: 72.5
Energy in Ry per atom: -0.30707
Symmetry: F-43m

Lattice parameters (Å, degrees): 4.6796 4.6796 4.6796 60.00 60.00 60.00
Positions (direct):
1 Pr 0.0000 0.0000 0.0000
2 Sc 0.7500 0.7500 0.7500
3 Be 0.5000 0.5000 0.5000

=====

Entry 10:
This record from OQMD via LeMat-Bulk describes a relaxed NdTlHg3Te4 crystal. The functional is PBE.

Calculated values
Volume in Å³ per cell: 385.7
Energy in Ry per atom: -0.19294
Symmetry: P-43m

Lattice parameters (Å, degrees): 7.2795 7.2795 7.2795 90.00 90.00 90.00
Positions (direct):
1 Nd 0.0000 0.0000 0.0000
2 Tl 0.5000 0.5000 0.5000
3 Hg 0.0000 0.0000 0.5000
4 Hg 0.0000 0.5000 0.0000
5 Hg 0.5000 0.0000 0.0000
6 Te 0.2365 0.2365 0.7635
7 Te 0.2365 0.7635 0.2365
8 Te 0.7635 0.2365 0.2365
9 Te 0.7635 0.7635 0.7635

=====

Entry 11:
This record from OQMD via LeMat-Bulk describes a relaxed CoTc2 crystal. The functional is PBE.

Calculated values
Volume in Å³ per cell: 290.0
Symmetry: Fd-3m
Formation energy from the elements in meV/atom: 3286

Lattice parameters (Å, degrees): 7.4301 7.4301 7.4301 60.00 60.00 60.00
Positions (direct):
1 Co 0.1250 0.1250 0.1250
2 Co 0.8750 0.8750 0.8750
3 Tc 0.0000 0.0000 0.0000
4 Tc 0.0000 0.0000 0.5000
5 Tc 0.0000 0.5000 0.0000
6 Tc 0.5000 0.0000 0.0000

=====

Entry 12:
This record from OQMD via LeMat-Bulk describes a relaxed Nd3Zn3IrPt2 crystal. The functional is PBE.

Calculated values
Volume in Å³ per cell: 189.3
Symmetry: P-62m
Formation energy from the elements in meV/atom: -796

Lattice parameters (Å, degrees): 7.3701 7.3701 4.0245 90.00 90.00 120.00
Positions (direct):
1 Nd 0.0000 0.5962 0.0000
2 Nd 0.4038 0.4038 0.0000
3 Nd 0.5962 0.0000 0.0000
4 Zn 0.0000 0.2379 0.5000
5 Zn 0.2379 0.0000 0.5000
6 Zn 0.7621 0.7621 0.5000
7 Ir 0.0000 0.0000 0.0000
8 Pt 0.3333 0.6667 0.5000
9 Pt 0.6667 0.3333 0.5000